No. 1
NiOsSe2Br | GGA-PBE | relaxed

Its density of states at the Fermi level is 11.7 states/eV/cell. For the relative energy among the computed polymorphs, the calculation gives 0.000 eV per atom. The calculation puts the formation energy without anion corrections at 0.984 eV per atom. The spin magnetization comes out at 1.11 μB per formula unit.

It has space group P4/mmm (No. 123), with a = 4.764 Å, b = 4.764 Å, c = 5.388 Å, α = 90.00°, β = 90.00° and γ = 90.00°. Symmetry generates all atoms from Ni at (0.000, 0.000, 0.000), Os at (0.500, 0.500, 0.500), Se at (0.000, 0.500, 0.500) and Br at (0.500, 0.500, 0.000).

No. 2
NiOsSe2Br | GGA-PBE | relaxed

Its density of states at the Fermi level is 6.8 states/eV/cell. For the relative energy among the computed polymorphs, the calculation gives 0.277 eV per atom. The calculation puts the formation energy without anion corrections at 1.261 eV per atom. The spin magnetization comes out at 0.00 μB per formula unit.

It has space group P4/mmm (No. 123), with a = 4.588 Å, b = 4.588 Å, c = 4.653 Å, α = 90.00°, β = 90.00° and γ = 90.00°. Symmetry generates all atoms from Ni at (0.000, 0.000, 0.000), Os at (0.500, 0.500, 0.500), Se at (0.000, 0.500, 0.000) and Br at (0.000, 0.000, 0.500).

No. 3
Sm8NiOs3Br4 | GGA-PBE | relaxed

Its density of states at the Fermi level is 19.1 states/eV/cell. The calculation puts the formation energy without anion corrections at -0.713 eV per atom. The spin magnetization comes out at 0.00 μB per formula unit.

It has space group R-3m (No. 166, hexagonal axes), with a = 8.1084 Å, b = 8.1084 Å, c = 23.3772 Å, α = 90.00°, β = 90.00° and γ = 120.00°. Symmetry generates all atoms from Sm at (0.0000, 0.0000, 0.2333), Sm at (0.0038, 0.5019, 0.7683), Ni at (0.0000, 0.0000, 0.5000), Os at (0.0000, 0.5000, 0.5000), Br at (0.0000, 0.0000, 0.0000) and Br at (0.0000, 0.5000, 0.0000).

No. 4
VNiOsBr2 | GGA-PBE | relaxed

Its density of states at the Fermi level is 9.4 states/eV/cell. The calculation puts the formation energy without anion corrections at 1.306 eV per atom. The spin magnetization comes out at 2.40 μB per formula unit.

It has space group P4/mmm (No. 123), with a = 4.803 Å, b = 4.803 Å, c = 4.747 Å, α = 90.00°, β = 90.00° and γ = 90.00°. Symmetry generates all atoms from V at (0.000, 0.000, 0.000), Ni at (0.500, 0.500, 0.500), Os at (0.000, 0.000, 0.500) and Br at (0.000, 0.500, 0.000).

No. 5
NiPBr2 | GGA-PBE | relaxed

Its density of states at the Fermi level is 7.4 states/eV/cell. For the relative energy among the computed polymorphs, the calculation gives 0.849 eV per atom. The calculation puts the formation energy without anion corrections at 0.558 eV per atom. The spin magnetization comes out at 0.00 μB per formula unit.

It has space group I4/mmm (No. 139), with a = 5.114 Å, b = 5.114 Å, c = 6.454 Å, α = 90.00°, β = 90.00° and γ = 90.00°. Symmetry generates all atoms from Ni at (0.000, 0.000, 0.000), P at (0.000, 0.000, 0.500) and Br at (0.000, 0.500, 0.000).

No. 6
NiP2Br | GGA-PBE | relaxed

Its density of states at the Fermi level is 11.6 states/eV/cell. For the relative energy among the computed polymorphs, the calculation gives 1.065 eV per atom. The calculation puts the formation energy without anion corrections at 0.956 eV per atom. The spin magnetization comes out at 0.00 μB per formula unit.

It has space group Fm-3m (No. 225), with a = 6.318 Å, b = 6.318 Å, c = 6.318 Å, α = 90.00°, β = 90.00° and γ = 90.00°. Symmetry generates all atoms from Ni at (0.000, 0.000, 0.000), P at (0.250, 0.250, 0.250) and Br at (0.000, 0.000, 0.500).

No. 7
NiP2Br | GGA-PBE | relaxed

Its density of states at the Fermi level is 8.9 states/eV/cell. For the relative energy among the computed polymorphs, the calculation gives 0.581 eV per atom. The calculation puts the formation energy without anion corrections at 0.472 eV per atom. The spin magnetization comes out at 0.53 μB per formula unit.

It has space group I4/mmm (No. 139), with a = 3.347 Å, b = 3.347 Å, c = 16.068 Å, α = 90.00°, β = 90.00° and γ = 90.00°. Symmetry generates all atoms from Ni at (0.000, 0.000, 0.000), P at (0.000, 0.500, 0.250) and Br at (0.000, 0.000, 0.500).

No. 8
Ni3PBr | GGA-PBE | relaxed

Its density of states at the Fermi level is 5.1 states/eV/cell. For the relative energy among the computed polymorphs, the calculation gives 0.000 eV per atom. The calculation puts the formation energy without anion corrections at 0.280 eV per atom. The spin magnetization comes out at 0.00 μB per formula unit.

It has space group Pm-3m (No. 221), with a = 4.297 Å, b = 4.297 Å, c = 4.297 Å, α = 90.00°, β = 90.00° and γ = 90.00°. Symmetry generates all atoms from Ni at (0.000, 0.000, 0.500), P at (0.000, 0.000, 0.000) and Br at (0.500, 0.500, 0.500).

No. 9
NiPBr | GGA-PBE | relaxed

Its density of states at the Fermi level is 1.5 states/eV/cell. For the relative energy among the computed polymorphs, the calculation gives 0.000 eV per atom. The calculation puts the formation energy without anion corrections at -0.024 eV per atom. The spin magnetization comes out at 0.00 μB per formula unit.

It has space group P3m1 (No. 156), with a = 3.4342 Å, b = 3.4342 Å, c = 5.5593 Å, α = 90.00°, β = 90.00° and γ = 120.00°. Symmetry generates all atoms from Ni at (0.0000, 0.0000, 0.0000), P at (0.3333, 0.6667, 0.2032) and Br at (0.6667, 0.3333, 0.7190).

No. 10
NiP2Br | GGA-PBE | relaxed

Its density of states at the Fermi level is 3.6 states/eV/cell. For the relative energy among the computed polymorphs, the calculation gives 0.000 eV per atom. The calculation puts the formation energy without anion corrections at -0.109 eV per atom. The spin magnetization comes out at 0.44 μB per formula unit.

It has space group Pm (No. 6), with a = 4.087 Å, b = 3.251 Å, c = 7.180 Å, α = 90.00°, β = 99.85° and γ = 90.00°. Symmetry generates all atoms from Ni at (0.000, 0.000, 0.000), P at (0.281, 0.500, 0.243), P at (0.542, 0.000, 0.125) and Br at (0.916, 0.500, 0.748).

No. 11
NiP2Br | GGA-PBE | relaxed

Its density of states at the Fermi level is 12.6 states/eV/cell. For the relative energy among the computed polymorphs, the calculation gives 0.360 eV per atom. The calculation puts the formation energy without anion corrections at 0.250 eV per atom. The spin magnetization comes out at 0.00 μB per formula unit.

It has space group I-42d (No. 122), with a = 5.854 Å, b = 5.854 Å, c = 10.056 Å, α = 90.00°, β = 90.00° and γ = 90.00°. Symmetry generates all atoms from Ni at (0.000, 0.000, 0.000), P at (0.148, 0.250, 0.125) and Br at (0.000, 0.000, 0.500).

No. 12
NiP2Br | GGA-PBE | relaxed

Its density of states at the Fermi level is 5.5 states/eV/cell. For the relative energy among the computed polymorphs, the calculation gives 0.544 eV per atom. The calculation puts the formation energy without anion corrections at 0.434 eV per atom. The spin magnetization comes out at 0.00 μB per formula unit.

It has space group I4/mmm (No. 139), with a = 5.024 Å, b = 5.024 Å, c = 5.072 Å, α = 90.00°, β = 90.00° and γ = 90.00°. Symmetry generates all atoms from Ni at (0.000, 0.000, 0.000), P at (0.000, 0.500, 0.000) and Br at (0.000, 0.000, 0.500).